A geometry-optimized Sc4IrOs structure. Source: the Alexandria database, functional PBE.

abc: 5.3478 5.3478 5.3478
angles: 60.00 60.00 60.00
Atoms (fractional coordinates):
Sc 0.3751 0.3751 0.8748
Sc 0.3751 0.3751 0.3751
Sc 0.3751 0.8748 0.3751
Sc 0.8748 0.3751 0.3751
Ir 0.7500 0.7500 0.7500
Os 0.0000 0.0000 0.0000

Computed properties:
Total magnetic moment (μB per cell): 0.00
Space group: No. 216
VASP energy (Ha/atom): -0.26357
N(E_F) (states/eV per cell): 6.741
E_form (eV per formula unit): 2.4



A geometry-optimized YPuNiPd structure. Source: the Alexandria database, functional PBE.

abc: 4.9039 4.9039 4.9039
angles: 60.00 60.00 60.00
Site moments in Bohr magnetons follow the coordinates.
Atoms (fractional coordinates):
Pu 0.7500 0.7500 0.7500  5.25
Y 0.2500 0.2500 0.2500  0.11
Ni 0.0000 0.0000 0.0000  -0.08
Pd 0.5000 0.5000 0.5000  0.00

Computed properties:
Total magnetic moment (μB per cell): 5.67
Space group: No. 216
VASP energy (Ha/atom): -0.30474
N(E_F) (states/eV per cell): 14.153
E_form (eV per formula unit): -1.4



A geometry-optimized LaGe2Au2 structure. Source: the Alexandria database, functional PBE.

abc: 8.0450 8.0450 3.2666
angles: 90.00 90.00 90.00
Atoms (fractional coordinates):
Ge 0.1366 0.3634 0.0000
Ge 0.8634 0.6366 0.0000
Ge 0.6366 0.1366 0.0000
Ge 0.3634 0.8634 0.0000
La 0.0000 0.0000 0.0000
La 0.5000 0.5000 0.0000
Au 0.8435 0.3435 0.5000
Au 0.1565 0.6565 0.5000
Au 0.6565 0.8435 0.5000
Au 0.3435 0.1565 0.5000

Computed properties:
Total magnetic moment (μB per cell): 0.11
Space group: No. 127
VASP energy (Ha/atom): -0.16255
N(E_F) (states/eV per cell): 5.523
E_form (eV per formula unit): -1.4



A geometry-optimized CsNbCr2 structure. Source: the Alexandria database, functional PBE.

abc: 5.0064 5.0064 5.0064
angles: 60.00 60.00 60.00
Site moments in Bohr magnetons follow the coordinates.
Atoms (fractional coordinates):
Cs 0.5000 0.5000 0.5000  0.05
Cr 0.2500 0.2500 0.2500  3.40
Cr 0.7500 0.7500 0.7500  3.40
Nb 0.0000 0.0000 0.0000  -1.67

Computed properties:
Total magnetic moment (μB per cell): 5.52
Space group: No. 225
VASP energy (Ha/atom): -0.21427
N(E_F) (states/eV per cell): 9.831
E_form (eV per formula unit): 6.8



Number 2 is which compound? YPuNiPd



What is the N(E_F) in the fourth record? 9.831 states/eV per cell